(1)
Here is an optimized crystal structure of TbCrSb2 from the Alexandria database. Energies are from GGA-PBE.

Geometry as POSCAR:
```
TbCrSb2
1.0
4.221 0.000 0.000
2.111 3.656 0.000
2.111 1.219 6.470
Sb Tb Cr
2 1 1
Direct
0.265 0.265 0.206
0.735 0.735 0.794
0.500 0.500 0.500
0.000 0.000 0.000
```

Results
For the density of states at the Fermi level, the calculation gives 0.222 states/eV per atom. The final energy comes out at -24.214 eV per cell. The space group is R-3m, No. 166. The value obtained for the formation energy (no corrections) is -0.429 eV per atom.



(2)
Here is an optimized crystal structure of CrTc2Sb from the Alexandria database. Energies are from GGA-PBE.

Geometry as POSCAR:
```
CrTc2Sb
1.0
-0.654 0.773 -3.787
-3.814 0.490 0.759
-0.767 9.610 0.064
Sb Tc Cr
2 4 2
Direct
0.000 0.000 0.000
0.750 0.250 0.500
0.563 0.125 0.250
0.187 0.625 0.250
0.375 0.437 0.750
0.875 0.813 0.750
0.500 0.500 0.000
0.250 0.750 0.500
```

Results
For the density of states at the Fermi level, the calculation gives 0.874 states/eV per atom. The final energy comes out at -63.971 eV per cell. The space group is I-42d, No. 122. The value obtained for the formation energy (no corrections) is 0.623 eV per atom.



(3)
Here is an optimized crystal structure of CrTc2Sb from the Alexandria database. Energies are from GGA-PBE.

Geometry as POSCAR:
```
CrTc2Sb
1.0
-3.103 1.271 2.886
-4.201 0.434 -1.317
-3.059 -2.887 1.373
Cr Sb Tc
1 1 2
Direct
0.500 0.500 0.500
0.750 0.750 0.750
0.000 0.000 0.000
0.250 0.250 0.250
```

Results
For the density of states at the Fermi level, the calculation gives 0.857 states/eV per atom. The final energy comes out at -33.194 eV per cell. The space group is F-43m, No. 216. The value obtained for the formation energy (no corrections) is 0.321 eV per atom.



(4)
Here is an optimized crystal structure of CrTcSb3 from the Alexandria database. Energies are from GGA-PBE.

Geometry as POSCAR:
```
CrTcSb3
1.0
5.019 0.000 0.000
0.000 5.019 0.000
0.000 0.000 5.019
Sb Tc Cr
3 1 1
Direct
0.000 0.500 0.000
0.000 0.000 0.500
0.500 0.000 0.000
0.500 0.500 0.500
0.000 0.000 0.000
```

Results
The value obtained for the excess energy over the best structure of this formula in the dataset is 0 meV per atom. For the density of states at the Fermi level, the calculation gives 1.129 states/eV per atom. The final energy comes out at -27.052 eV per cell. The space group is Pm-3m, No. 221. The value obtained for the formation energy (no corrections) is 1.061 eV per atom.



(5)
Here is an optimized crystal structure of CrTc2Sb from the Alexandria database. Energies are from GGA-PBE.

Geometry as POSCAR:
```
CrTc2Sb
1.0
3.971 0.000 0.000
0.000 2.957 -0.026
0.000 2.121 5.355
Cr Sb Tc
1 1 2
Direct
0.500 0.250 0.250
0.500 0.750 0.750
0.000 0.086 0.030
0.000 0.414 0.470
```

Results
For the density of states at the Fermi level, the calculation gives 1.023 states/eV per atom. The final energy comes out at -33.116 eV per cell. The space group is P2/m, No. 10. The value obtained for the formation energy (no corrections) is 0.340 eV per atom.



(6)
Here is an optimized crystal structure of CrTc2Sb from the Alexandria database. Energies are from GGA-PBE.

Geometry as POSCAR:
```
CrTc2Sb
1.0
-0.536 3.842 3.346
-1.532 -1.260 4.724
3.638 -0.897 -3.494
Cr Sb Tc
1 1 2
Direct
0.750 0.250 0.500
0.250 0.750 0.500
0.000 0.000 0.000
0.500 0.500 0.000
```

Results
For the density of states at the Fermi level, the calculation gives 0.770 states/eV per atom. The final energy comes out at -33.321 eV per cell. The space group is Immm, No. 71. The value obtained for the formation energy (no corrections) is 0.289 eV per atom.



(7)
Here is an optimized crystal structure of CrTc2Sb from the Alexandria database. Energies are from GGA-PBE.

Geometry as POSCAR:
```
CrTc2Sb
1.0
4.027 0.000 0.000
0.000 2.952 0.009
0.000 2.929 5.289
Cr Sb Tc
1 1 2
Direct
0.000 0.532 0.468
0.500 0.750 0.749
0.000 0.972 0.028
0.500 0.246 0.254
```

Results
For the density of states at the Fermi level, the calculation gives 0.870 states/eV per atom. The final energy comes out at -33.346 eV per cell. The space group is Pm, No. 6. The value obtained for the formation energy (no corrections) is 0.283 eV per atom.



(8)
Here is an optimized crystal structure of CrTc2Sb from the Alexandria database. Energies are from GGA-PBE.

Geometry as POSCAR:
```
CrTc2Sb
1.0
3.160 0.000 0.000
0.000 4.418 0.000
0.000 0.000 4.418
Cr Sb Tc
1 1 2
Direct
0.500 0.500 0.000
0.500 0.000 0.500
0.000 0.000 0.000
0.000 0.500 0.500
```

Results
For the density of states at the Fermi level, the calculation gives 1.187 states/eV per atom. The final energy comes out at -33.794 eV per cell. The space group is P4/mmm, No. 123. The value obtained for the formation energy (no corrections) is 0.171 eV per atom.



(9)
Here is an optimized crystal structure of CrTc2Sb from the Alexandria database. Energies are from GGA-PBE.

Geometry as POSCAR:
```
CrTc2Sb
1.0
3.137 0.000 0.000
0.000 4.598 0.000
0.000 0.000 4.269
Cr Sb Tc
1 1 2
Direct
0.500 0.000 0.500
0.000 0.500 0.500
0.000 0.000 0.000
0.500 0.500 0.000
```

Results
For the density of states at the Fermi level, the calculation gives 0.921 states/eV per atom. The final energy comes out at -33.108 eV per cell. The space group is Pmmm, No. 47. The value obtained for the formation energy (no corrections) is 0.343 eV per atom.



(10)
Here is an optimized crystal structure of CrTcSb4 from the Alexandria database. Energies are from GGA-PBE.

Geometry as POSCAR:
```
CrTcSb4
1.0
5.194 -1.532 -2.797
2.283 -5.611 0.671
-0.095 -3.908 -4.676
Cr Tc Sb
1 1 4
Direct
0.000 0.000 0.000
0.750 0.750 0.750
0.875 0.375 0.375
0.375 0.375 0.875
0.375 0.875 0.375
0.375 0.375 0.375
```

Results
For the density of states at the Fermi level, the calculation gives 1.078 states/eV per atom. The final energy comes out at -29.653 eV per cell. The space group is F-43m, No. 216. The value obtained for the formation energy (no corrections) is 1.138 eV per atom.



(11)
Here is an optimized crystal structure of CrTc2Sb from the Alexandria database. Energies are from GGA-PBE.

Geometry as POSCAR:
```
CrTc2Sb
1.0
8.510 0.007 0.004
7.993 2.920 0.004
7.993 1.418 2.553
Cr Sb Tc
1 1 2
Direct
0.250 0.250 0.250
0.750 0.750 0.750
0.993 0.993 0.993
0.507 0.507 0.507
```

Results
For the density of states at the Fermi level, the calculation gives 0.793 states/eV per atom. The final energy comes out at -32.909 eV per cell. The space group is R-3m, No. 166. The value obtained for the formation energy (no corrections) is 0.392 eV per atom.



(12)
Here is an optimized crystal structure of CrTc2Sb from the Alexandria database. Energies are from GGA-PBE.

Geometry as POSCAR:
```
CrTc2Sb
1.0
-3.066 -0.224 0.439
-0.342 -1.024 -2.912
0.725 -5.968 2.015
Cr Sb Tc
1 1 2
Direct
0.000 0.000 0.485
0.500 0.500 0.741
0.000 0.000 0.008
0.500 0.500 0.266
```

Results
For the density of states at the Fermi level, the calculation gives 0.969 states/eV per atom. The final energy comes out at -33.376 eV per cell. The space group is P4mm, No. 99. The value obtained for the formation energy (no corrections) is 0.275 eV per atom.